An optimized crystal structure of HfNbCI, computed with GGA-PBE.

Cell: 3.450 3.450 7.244 Å, 90.00 90.00 120.00°
Positions (direct):
Hf 0.000 0.000 0.000
Nb 0.333 0.667 0.697
C 0.667 0.333 0.844
I 0.333 0.667 0.302

Output
SG   No. 156
VASP energy   -32.33 eV/f.u.

***

An optimized crystal structure of LaTcCl2, computed with GGA-PBE.

Cell: 5.839 5.839 5.753 Å, 90.83 90.83 34.29°
Positions (direct):
La 0.000 0.000 0.000
Tc 0.351 0.351 0.249
Cl 0.489 0.489 0.573
Cl 0.736 0.736 0.050

Output
SG   No. 8
VASP energy   -21.46 eV/f.u.

***

An optimized crystal structure of NaSc4S5, computed with GGA-PBE.

Cell: 9.944 9.944 9.944 Å, 158.44 149.36 37.77°
Positions (direct):
Na 0.000 0.000 0.000
Sc 0.205 0.205 0.000
Sc 0.399 0.399 0.000
Sc 0.601 0.601 0.000
Sc 0.795 0.795 0.000
S 0.108 0.608 0.500
S 0.302 0.802 0.500
S 0.500 0.000 0.500
S 0.698 0.198 0.500
S 0.892 0.392 0.500

Output
SG   No. 71
VASP energy   -65.40 eV/f.u.

***

An optimized crystal structure of Sm8Tl3Ga2, computed with GGA-PBE.

Cell: 9.103 9.103 5.501 Å, 90.00 90.00 120.20°
Positions (direct):
Sm 0.110 0.890 0.000
Sm 0.158 0.411 0.500
Sm 0.311 0.689 0.000
Sm 0.411 0.158 0.500
Sm 0.589 0.842 0.500
Sm 0.689 0.311 0.000
Sm 0.842 0.589 0.500
Sm 0.890 0.110 0.000
Tl 0.000 0.000 0.500
Tl 0.322 0.322 0.000
Tl 0.678 0.678 0.000
Ga 0.226 0.774 0.500
Ga 0.774 0.226 0.500

Output
SG   No. 65
VASP energy   -53.70 eV/f.u.
Energy relative to the elements   -0.215 eV/atom

***

An optimized crystal structure of ReP, computed with GGA-PBE.

Cell: 5.671 6.028 8.292 Å, 90.00 90.00 90.00°
Positions (direct):
Re 0.071 0.068 0.269
Re 0.218 0.595 0.936
Re 0.282 0.405 0.436
Re 0.429 0.932 0.769
Re 0.571 0.432 0.731
Re 0.718 0.905 0.064
Re 0.782 0.095 0.564
Re 0.929 0.568 0.231
P 0.193 0.075 0.562
P 0.223 0.631 0.658
P 0.277 0.369 0.158
P 0.307 0.925 0.062
P 0.693 0.425 0.438
P 0.723 0.869 0.342
P 0.777 0.131 0.842
P 0.807 0.575 0.938

Output
SG   No. 19
VASP energy   -17.63 eV/f.u.
Energy relative to the elements   0.113 eV/atom

***

An optimized crystal structure of Ba2In3Hg9, computed with GGA-PBE.

Cell: 9.062 9.062 11.140 Å, 90.00 90.00 60.11°
Positions (direct):
Ba 0.012 0.665 0.750
Ba 0.335 0.988 0.750
Ba 0.665 0.012 0.250
Ba 0.988 0.335 0.250
In 0.000 0.000 0.000
In 0.000 0.000 0.500
In 0.325 0.325 0.000
In 0.325 0.325 0.500
In 0.675 0.675 0.000
In 0.675 0.675 0.500
Hg 0.001 0.666 0.087
Hg 0.001 0.666 0.413
Hg 0.124 0.876 0.250
Hg 0.333 0.667 0.557
Hg 0.333 0.667 0.943
Hg 0.334 0.999 0.087
Hg 0.334 0.999 0.413
Hg 0.338 0.464 0.250
Hg 0.464 0.338 0.750
Hg 0.536 0.662 0.250
Hg 0.662 0.536 0.750
Hg 0.666 0.001 0.587
Hg 0.666 0.001 0.913
Hg 0.667 0.333 0.057
Hg 0.667 0.333 0.443
Hg 0.876 0.124 0.750
Hg 0.999 0.334 0.587
Hg 0.999 0.334 0.913

Output
SG   No. 63
VASP energy   -18.56 eV/f.u.
Energy relative to the elements   -0.270 eV/atom

***

An optimized crystal structure of BaNpCu2F8, computed with GGA-PBE.

Cell: 5.112 5.112 8.766 Å, 90.00 90.00 120.00°
Positions (direct):
Ba 0.000 0.000 0.000
Np 0.000 0.000 0.500
Cu 0.333 0.667 0.798
Cu 0.667 0.333 0.202
F 0.008 0.327 0.663
F 0.319 0.992 0.663
F 0.327 0.319 0.337
F 0.333 0.667 0.014
F 0.667 0.333 0.986
F 0.673 0.681 0.663
F 0.681 0.008 0.337
F 0.992 0.673 0.337

Output
SG   No. 147
VASP energy   -69.31 eV/f.u.

***

An optimized crystal structure of Zr2Si3Ni, computed with GGA-PBE.

Cell: 7.757 7.670 5.359 Å, 70.54 68.81 40.65°
Positions (direct):
Zr 0.240 0.760 0.760
Zr 0.250 0.250 0.250
Zr 0.750 0.750 0.750
Zr 0.760 0.240 0.240
Si 0.172 0.656 0.344
Si 0.173 0.173 0.827
Si 0.344 0.828 0.172
Si 0.656 0.172 0.828
Si 0.827 0.827 0.173
Si 0.828 0.344 0.656
Ni 0.334 0.334 0.666
Ni 0.666 0.666 0.334

Output
SG   No. 69
VASP energy   -43.73 eV/f.u.